{"formula": "Pr2CuAg", "functional": "PBEsol", "state": "relaxed", "formation_energy_mev_per_atom": -151, "m_tot_mub_per_fu": 0.00, "lattice_angstrom": [[-0.3627, 3.2379, 1.5556], [-1.8813, -1.5032, 2.6901], [6.2076, -1.0960, 3.7289]], "species": ["Pr", "Pr", "Ag", "Cu"], "frac_coords": [[0.5000, 0.5000, 0.7343], [0.5000, 0.5000, 0.2657], [0.0000, 0.0000, 0.0000], [0.0000, 0.0000, 0.5000]]}

---

{"formula": "Cu2AgPt", "functional": "PBEsol", "state": "relaxed", "formation_energy_mev_per_atom": -39, "m_tot_mub_per_fu": 0.00, "lattice_angstrom": [[3.9955, 0.0000, 0.0000], [-1.9978, 3.9334, -0.0384], [0.0000, -1.9955, 3.4615]], "species": ["Ag", "Cu", "Pt", "Cu"], "frac_coords": [[0.0000, 0.0000, 0.0000], [0.2500, 0.5000, 0.7500], [0.5000, 0.0000, 0.5000], [0.7500, 0.5000, 0.2500]]}

---

{"formula": "CuAgPt", "functional": "PBEsol", "state": "relaxed", "formation_energy_mev_per_atom": 22, "m_tot_mub_per_fu": 0.00, "lattice_angstrom": [[2.6940, -0.0241, 0.0000], [-1.2587, 2.3820, 0.0000], [-0.7177, -1.1790, 6.8218]], "species": ["Cu", "Pt", "Ag"], "frac_coords": [[0.3320, 0.3320, 0.6641], [0.6739, 0.6739, 0.3479], [0.9940, 0.9940, 0.9881]]}

---

{"formula": "CuAgPt", "functional": "PBEsol", "state": "relaxed", "formation_energy_mev_per_atom": -35, "m_tot_mub_per_fu": 0.00, "lattice_angstrom": [[2.7327, 0.0000, 0.0000], [-1.3664, 2.3666, 0.0000], [0.0000, 0.0000, 6.6558]], "species": ["Pt", "Cu", "Ag"], "frac_coords": [[0.6667, 0.3333, 0.3486], [0.3333, 0.6667, 0.6635], [0.0000, 0.0000, 0.9879]]}

---

{"formula": "Cu2AgPt", "functional": "PBEsol", "state": "relaxed", "formation_energy_mev_per_atom": -32, "m_tot_mub_per_fu": 0.00, "lattice_angstrom": [[4.2412, 0.0000, 0.0000], [2.1206, 3.6730, 0.0000], [2.1206, 1.2243, 3.4629]], "species": ["Pt", "Cu", "Cu", "Ag"], "frac_coords": [[0.5000, 0.5000, 0.5000], [0.7500, 0.7500, 0.7500], [0.2500, 0.2500, 0.2500], [0.0000, 0.0000, 0.0000]]}

---

{"formula": "Cu2AgPt", "functional": "PBEsol", "state": "relaxed", "formation_energy_mev_per_atom": -42, "m_tot_mub_per_fu": 0.00, "lattice_angstrom": [[2.7650, 0.0000, 0.0000], [0.0000, 3.5508, 0.0000], [0.0000, 0.0000, 5.5387]], "species": ["Ag", "Cu", "Pt", "Cu"], "frac_coords": [[0.5000, 0.5000, 0.0000], [0.0000, 0.0000, 0.2608], [0.5000, 0.5000, 0.5000], [0.0000, 0.0000, 0.7392]]}

---

{"formula": "Cu2AgPt", "functional": "PBEsol", "state": "relaxed", "formation_energy_mev_per_atom": -44, "m_tot_mub_per_fu": 0.00, "lattice_angstrom": [[2.7773, 0.0000, 0.0000], [0.0000, 2.7773, 0.0000], [0.0000, 0.0000, 7.0428]], "species": ["Ag", "Cu", "Pt", "Cu"], "frac_coords": [[0.5000, 0.5000, 0.5000], [0.0000, 0.0000, 0.7578], [0.5000, 0.5000, 0.0000], [0.0000, 0.0000, 0.2422]]}

---

{"formula": "Cu2AgPt", "functional": "PBEsol", "state": "relaxed", "formation_energy_mev_per_atom": -18, "m_tot_mub_per_fu": 0.00, "lattice_angstrom": [[-0.4378, -2.4674, -1.3452], [2.2057, -2.0787, 3.0948], [-4.5998, 1.6988, 1.3879]], "species": ["Cu", "Ag", "Cu", "Pt"], "frac_coords": [[0.0124, 0.0124, 0.0248], [0.2604, 0.7604, 0.5208], [0.7396, 0.2396, 0.4792], [0.4876, 0.4876, 0.9752]]}

---

{"formula": "Cu2AgPt", "functional": "PBEsol", "state": "relaxed", "formation_energy_mev_per_atom": 5, "m_tot_mub_per_fu": 0.00, "lattice_angstrom": [[2.7374, 0.0000, 0.0000], [0.0000, 3.6862, 0.0000], [0.0000, 0.0000, 5.4120]], "species": ["Pt", "Cu", "Ag", "Cu"], "frac_coords": [[0.0000, 0.0000, 0.4790], [0.5000, 0.5000, 0.2469], [0.5000, 0.5000, 0.7650], [0.0000, 0.0000, 0.0091]]}

---

{"formula": "CuAgPt", "functional": "PBEsol", "state": "relaxed", "formation_energy_mev_per_atom": -26, "m_tot_mub_per_fu": 0.00, "lattice_angstrom": [[2.7912, 0.0000, 0.0000], [0.0000, 2.7912, 0.0000], [-1.3956, -1.3956, 5.4913]], "species": ["Cu", "Ag", "Pt"], "frac_coords": [[0.6707, 0.6707, 0.3415], [0.0069, 0.0069, 0.0139], [0.3223, 0.3223, 0.6447]]}

---

{"formula": "Cu2AgPt", "functional": "PBEsol", "state": "relaxed", "formation_energy_mev_per_atom": -36, "m_tot_mub_per_fu": 0.00, "lattice_angstrom": [[2.7885, 0.0000, 0.0000], [0.0000, 4.4143, -0.1990], [-1.3942, -1.2953, 4.4496]], "species": ["Ag", "Pt", "Cu", "Cu"], "frac_coords": [[0.7401, 0.2092, 0.4803], [0.5115, 0.5441, 0.0231], [0.2612, 0.7224, 0.5225], [0.9871, 0.0242, 0.9742]]}

---

{"formula": "Cu2AgPt", "functional": "PBEsol", "state": "relaxed", "formation_energy_mev_per_atom": -64, "m_tot_mub_per_fu": 0.00, "lattice_angstrom": [[2.7883, 0.0317, 0.0410], [-0.0525, 4.4501, 0.0896], [-0.0525, -1.0326, 4.3296]], "species": ["Cu", "Pt", "Ag", "Cu"], "frac_coords": [[0.0000, 0.5000, 0.0000], [0.5000, 0.5000, 0.5000], [0.5000, 0.0000, 0.0000], [0.0000, 0.0000, 0.5000]]}